Below is a relaxed structure of AcPmNd2N4, with properties calculated at the PBE-GGA level.

The calculation puts the density of states at the Fermi level at 0.14 states/eV/atom. Its uncorrected formation energy is -1.265 eV per atom.

Cell lengths 3.7076, 6.4352, 6.4313 Å; angles 109.40, 90.00, 90.00 degrees
Closest atoms and distances in Å follow each position.
Sites, in units of the cell vectors:
N  0.0000  0.7445  0.2525  3 Nd 2.58-2.63, 2 Pm 2.62, 1 Ac 2.67
N  0.5000  0.2600  0.2581  3 Nd 2.58-2.64, 1 Pm 2.62, 2 Ac 2.67
N  0.0000  0.2555  0.7475  3 Nd 2.58-2.63, 2 Pm 2.62, 1 Ac 2.67
N  0.5000  0.7400  0.7419  3 Nd 2.58-2.64, 1 Pm 2.62, 2 Ac 2.67
Nd  0.5000  0.0000  0.5000  6 N 2.63-2.64
Nd  0.0000  0.5000  0.5000  6 N 2.58
Pm  0.5000  0.5000  0.0000  6 N 2.62
Ac  0.0000  0.0000  0.0000  6 N 2.67

Below is a relaxed structure of PmHoMgCd, with properties calculated at the PBE-GGA level.

The calculation puts the density of states at the Fermi level at 1.23 states/eV/atom. As for the calculated formation energy: -0.200 eV/atom.

Cell lengths 3.7919, 3.7919, 7.6124 Å; angles 90.00, 90.00, 90.00 degrees
Closest atoms and distances in Å follow each position.
Sites, in units of the cell vectors:
Cd  0.5000  0.5000  0.1194  4 Ho 3.23, 4 Pm 3.34
Pm  0.0000  0.0000  0.8568  4 Mg 3.33, 4 Cd 3.34
Mg  0.5000  0.5000  0.5967  4 Ho 3.25, 4 Pm 3.33, 1 Cd 3.63
Ho  0.0000  0.0000  0.3550  4 Cd 3.23, 4 Mg 3.25

Below is a relaxed structure of Ti3ReF, with properties calculated at the PBE-GGA level.

The calculation puts the density of states at the Fermi level at 1.74 states/eV/atom. Its uncorrected formation energy is -0.503 eV per atom. For the energy above the most stable polymorph in this dataset, the calculation gives 0 meV per atom.

Cell lengths 4.1505, 4.1505, 4.1505 Å; angles 90.00, 90.00, 90.00 degrees
Closest atoms and distances in Å follow each position.
Sites, in units of the cell vectors:
F  0.0000  0.0000  0.0000  6 Ti 2.08
Ti  0.5000  0.0000  0.0000  2 F 2.08
Ti  0.0000  0.0000  0.5000  2 F 2.08
Ti  0.0000  0.5000  0.0000  2 F 2.08
Re  0.5000  0.5000  0.5000  12 Ti 2.93